No. 1
Material: KScF3
Method: DFT, PBE-GGA
State: relaxed

```
20
Lattice="5.991 -4.173 0.000 5.991 4.173 0.000 0.000 0.000 6.112" Properties=species:S:1:pos:R:3 pbc="T T T"
K 2.995 0.707 1.528
K 2.995 -0.707 4.584
K 8.986 0.707 1.528
K 8.986 -0.707 4.584
Sc 5.991 2.656 2.323
Sc 5.991 1.517 5.379
Sc 5.991 -1.517 0.733
Sc 5.991 -2.656 3.790
F 4.594 2.620 0.601
F 5.991 3.572 4.359
F 4.594 1.553 3.658
F 7.387 2.620 0.601
F 5.991 0.601 1.303
F 7.387 1.553 3.658
F 4.594 -1.553 2.455
F 5.991 -0.601 4.809
F 4.594 -2.620 5.511
F 7.387 -1.553 2.455
F 5.991 -3.572 1.753
F 7.387 -2.620 5.511
```

Computed properties:
Energy relative to the elements, uncorrected ... -15.26 eV per formula unit
Offset from the most stable computed form ... 0.164 eV/f.u.
Density of states at the Fermi level ... 2.279 states/eV per cell
Total moment ... 1.0 μB/f.u.
DFT total energy ... -5.66 eV per atom
Space group ... Cmce

***

No. 2
Material: SnBr
Method: DFT, PBE-GGA
State: relaxed

```
8
Lattice="-6.187 6.187 2.063 6.187 -6.187 2.063 6.187 6.187 -2.063" Properties=species:S:1:pos:R:3 pbc="T T T"
Sn 10.383 0.699 0.000
Sn 0.699 1.991 0.000
Sn 5.488 4.196 2.063
Sn -4.196 5.488 2.063
Br 4.861 2.351 0.000
Br 3.836 -1.326 2.063
Br 2.351 7.513 0.000
Br 1.326 3.836 2.063
```

Computed properties:
Energy relative to the elements, uncorrected ... -0.57 eV per formula unit
Density of states at the Fermi level ... 0.315 states/eV per cell
Total moment ... 0.0 μB/f.u.
DFT total energy ... -3.12 eV per atom
Space group ... I4/m

***

No. 3
Material: TaCoSn2
Method: DFT, PBE-GGA
State: relaxed

```
8
Lattice="-2.065 2.065 9.526 2.065 -2.065 9.526 2.065 2.065 -9.526" Properties=species:S:1:pos:R:3 pbc="T T T"
Ta 0.000 0.000 0.000
Ta 0.000 2.065 4.763
Co 2.065 0.000 4.763
Co 0.000 0.000 9.526
Sn 1.032 -0.987 7.145
Sn 1.078 1.032 2.382
Sn 1.032 3.051 -2.382
Sn 0.987 1.032 11.908
```

Computed properties:
Offset from the most stable computed form ... 0.662 eV/f.u.
Density of states at the Fermi level ... 8.913 states/eV per cell
Total moment ... 0.8 μB/f.u.
DFT total energy ... -6.14 eV per atom
Space group ... I-42d

***

No. 4
Material: Dy4AgHg
Method: DFT, PBE-GGA
State: relaxed

```
6
Lattice="5.039 0.000 0.000 0.000 5.039 0.000 0.000 0.000 7.199" Properties=species:S:1:pos:R:3 pbc="T T T"
Dy 0.000 2.519 1.768
Dy 0.000 2.519 5.431
Dy 2.519 0.000 1.768
Dy 2.519 0.000 5.431
Ag 0.000 0.000 0.000
Hg 2.519 2.519 3.599
```

Computed properties:
Offset from the most stable computed form ... 1.236 eV/f.u.
Density of states at the Fermi level ... 7.175 states/eV per cell
Total moment ... 0.0 μB/f.u.
DFT total energy ... -3.63 eV per atom
Space group ... P4/mmm

***

No. 5
Material: TcBi3Sb
Method: DFT, PBE-GGA
State: relaxed

```
5
Lattice="5.312 0.000 0.000 0.000 5.312 0.000 0.000 0.000 5.312" Properties=species:S:1:pos:R:3 pbc="T T T"
Tc 0.000 0.000 0.000
Bi 0.000 0.000 2.656
Bi 0.000 2.656 0.000
Bi 2.656 0.000 0.000
Sb 2.656 2.656 2.656
```

Computed properties:
Energy relative to the elements, uncorrected ... 2.51 eV per formula unit
Offset from the most stable computed form ... 0.000 eV/f.u.
Density of states at the Fermi level ... 3.170 states/eV per cell
Total moment ... 0.0 μB/f.u.
DFT total energy ... -4.72 eV per atom
Space group ... Pm-3m

***

No. 6
Material: SrYAl
Method: DFT, PBE-GGA
State: relaxed

```
6
Lattice="3.894 0.000 0.000 0.000 3.894 0.000 0.000 0.000 12.817" Properties=species:S:1:pos:R:3 pbc="T T T"
Sr 0.974 0.974 1.723
Sr 2.921 2.921 11.094
Y 0.974 0.974 5.313
Y 2.921 2.921 7.504
Al 0.974 0.974 8.912
Al 2.921 2.921 3.904
```

Computed properties:
Offset from the most stable computed form ... 0.125 eV/f.u.
Density of states at the Fermi level ... 4.489 states/eV per cell
Total moment ... 0.5 μB/f.u.
DFT total energy ... -4.13 eV per atom
Space group ... P4/nmm

***

No. 7
Material: Ce3CoAg3S8
Method: DFT, PBE-GGA
State: relaxed

```
15
Lattice="3.986 2.301 6.128 -3.986 2.301 6.128 0.000 -4.603 6.128" Properties=species:S:1:pos:R:3 pbc="T T T"
Ce -1.993 -1.151 6.128
Ce -1.993 1.151 12.256
Ce 0.000 2.301 6.128
Co 0.000 0.000 0.000
Ag -3.986 0.000 9.192
Ag -1.993 1.151 3.064
Ag 1.993 1.151 3.064
S -2.267 -1.309 10.917
S 0.000 -2.617 7.467
S -2.267 1.309 7.467
S 0.000 0.000 4.628
S 0.000 0.000 13.756
S 2.267 -1.309 10.917
S 0.000 2.617 10.917
S 2.267 1.309 7.467
```

Computed properties:
Energy relative to the elements, uncorrected ... -14.78 eV per formula unit
Density of states at the Fermi level ... 14.284 states/eV per cell
Total moment ... 2.1 μB/f.u.
DFT total energy ... -5.42 eV per atom
Space group ... R-3m

***

No. 8
Material: Dy3Zr2PaP6
Method: DFT, PBE-GGA
State: relaxed

```
12
Lattice="3.374 -5.845 0.000 3.374 5.845 0.000 -2.255 0.000 6.414" Properties=species:S:1:pos:R:3 pbc="T T T"
Dy 0.000 0.000 0.000
Dy 3.374 1.933 0.000
Dy 3.374 -1.933 0.000
Zr 2.246 3.899 3.207
Zr 2.246 -3.899 3.207
Pa 2.246 0.000 3.207
P 1.111 1.974 1.670
P -0.033 0.000 4.725
P 1.111 -1.974 1.670
P 3.382 1.974 4.744
P 4.525 0.000 1.689
P 3.382 -1.974 4.744
```

Computed properties:
Density of states at the Fermi level ... 6.463 states/eV per cell
Total moment ... 0.0 μB/f.u.
DFT total energy ... -7.55 eV per atom
Space group ... C2/m

***

No. 9
Material: Ti2CdCl8
Method: DFT, PBE-GGA
State: relaxed

```
11
Lattice="6.787 -3.717 0.000 6.787 3.717 0.000 -3.193 0.000 8.784" Properties=species:S:1:pos:R:3 pbc="T T T"
Ti 2.215 0.000 1.731
Ti 8.167 0.000 7.053
Cd -1.596 0.000 4.392
Cl 2.496 1.969 6.360
Cl -0.848 0.000 8.325
Cl 4.213 0.000 2.622
Cl 7.886 1.969 2.424
Cl 2.496 -1.969 6.360
Cl 6.170 0.000 6.162
Cl 11.230 0.000 0.459
Cl 7.886 -1.969 2.424
```

Computed properties:
Energy relative to the elements, uncorrected ... -15.24 eV per formula unit
Total moment ... 0.0 μB/f.u.
DFT total energy ... -4.25 eV per atom
Space group ... C2/m

***

No. 10
Material: LaTa2Mo
Method: DFT, PBE-GGA
State: relaxed

```
4
Lattice="2.991 0.000 0.000 0.000 4.423 0.000 -1.447 0.000 6.401" Properties=species:S:1:pos:R:3 pbc="T T T"
La 0.000 0.000 0.000
Ta -0.099 2.211 4.457
Ta 1.642 2.211 1.944
Mo 0.772 0.000 3.201
```

Computed properties:
Offset from the most stable computed form ... 0.738 eV/f.u.
Density of states at the Fermi level ... 4.425 states/eV per cell
Total moment ... 0.0 μB/f.u.
DFT total energy ... -9.48 eV per atom
Space group ... P2/m

***

No. 11
Material: CaHg2Ge2
Method: DFT, PBE-GGA
State: relaxed

```
10
Lattice="8.143 0.000 0.000 0.000 8.143 0.000 0.000 0.000 3.594" Properties=species:S:1:pos:R:3 pbc="T T T"
Ca 0.000 0.000 0.000
Ca 4.072 4.072 0.000
Hg 1.036 3.036 0.000
Hg 3.036 7.107 0.000
Hg 5.107 1.036 0.000
Hg 7.107 5.107 0.000
Ge 1.454 5.526 1.797
Ge 2.617 1.454 1.797
Ge 5.526 6.689 1.797
Ge 6.689 2.617 1.797
```

Computed properties:
Offset from the most stable computed form ... 0.585 eV/f.u.
Density of states at the Fermi level ... 5.262 states/eV per cell
Total moment ... 0.0 μB/f.u.
DFT total energy ... -2.40 eV per atom
Space group ... P4/mbm

***

No. 12
Material: KZn3Pt2
Method: DFT, PBE-GGA
State: relaxed

```
12
Lattice="5.356 -4.120 0.000 5.356 4.120 0.000 0.000 0.000 5.630" Properties=species:S:1:pos:R:3 pbc="T T T"
K 5.356 2.959 4.223
K 5.356 -2.959 1.408
Zn 3.053 2.175 1.408
Zn 7.658 2.175 1.408
Zn 5.356 0.393 1.408
Zn 5.356 -0.393 4.223
Zn 3.053 -2.175 4.223
Zn 7.658 -2.175 4.223
Pt 3.227 0.000 0.000
Pt 3.227 0.000 2.815
Pt 7.485 0.000 0.000
Pt 7.485 0.000 2.815
```

Computed properties:
Density of states at the Fermi level ... 3.223 states/eV per cell
Total moment ... 0.0 μB/f.u.
DFT total energy ... -3.28 eV per atom
Space group ... Cmcm